Entry 1:
Computed, not measured: an optimized crystal structure of Cd2Ga2As at the PBEsol level of DFT.

Results
- Density of states at the Fermi level: 3.8 states/eV per cell
- Formation enthalpy at 0 K: 1.3 eV/f.u.

Lattice parameters (Å, degrees): 4.100 4.100 12.252 90.00 90.00 90.00
Space group I4/mmm (No. 139)
Unique sites:
Cd 0.000 0.500 0.250 [4 per cell]
Ga 0.000 0.000 0.097 [4 per cell]
As 0.000 0.000 0.500 [2 per cell]

***

Entry 2:
Computed, not measured: an optimized crystal structure of CdGe2As2 at the PBEsol level of DFT.

Results
- Density of states at the Fermi level: 3.5 states/eV per cell
- Formation enthalpy at 0 K: 1.1 eV/f.u.

Lattice parameters (Å, degrees): 5.033 5.033 8.444 90.00 90.00 90.00
Space group I4/mmm (No. 139)
Unique sites:
Cd 0.000 0.000 0.000 [2 per cell]
Ge 0.000 0.500 0.250 [4 per cell]
As 0.000 0.000 0.349 [4 per cell]

***

Entry 3:
Computed, not measured: an optimized crystal structure of Cd2GeAs at the PBEsol level of DFT.

Results
- Density of states at the Fermi level: 7.0 states/eV per cell
- Formation enthalpy at 0 K: 1.0 eV/f.u.

Lattice parameters (Å, degrees): 6.870 6.870 6.870 90.00 90.00 90.00
Space group Fm-3m (No. 225)
Unique sites:
Cd 0.250 0.250 0.250 [8 per cell]
Ge 0.000 0.000 0.000 [4 per cell]
As 0.000 0.000 0.500 [4 per cell]

***

Entry 4:
Computed, not measured: an optimized crystal structure of MnCdGe2As at the PBEsol level of DFT.

Results
- Density of states at the Fermi level: 3.1 states/eV per cell
- Formation enthalpy at 0 K: 5.8 eV/f.u.

Lattice parameters (Å, degrees): 4.939 4.939 4.986 90.00 90.00 90.00
Space group P4/mmm (No. 123)
Unique sites:
Mn 0.000 0.000 0.000 [1 per cell]
Cd 0.000 0.000 0.500 [1 per cell]
Ge 0.000 0.500 0.500 [2 per cell]
As 0.500 0.500 0.000 [1 per cell]

***

Entry 5:
Computed, not measured: an optimized crystal structure of CdGeAsP at the PBEsol level of DFT.

Results
- Formation enthalpy at 0 K: -0.2 eV/f.u.

Lattice parameters (Å, degrees): 5.774 5.862 11.082 90.00 90.00 90.00
Space group I2_12_12_1 (No. 24)
Unique sites:
Cd 0.000 0.250 0.116 [4 per cell]
Ge 0.000 0.250 0.622 [4 per cell]
As 0.229 0.000 0.750 [4 per cell]
P 0.250 0.466 0.500 [4 per cell]

***

Entry 6:
Computed, not measured: an optimized crystal structure of Cd2AsH2 at the PBEsol level of DFT.

Results
- Density of states at the Fermi level: 2.5 states/eV per cell
- Total energy: -2.705 eV per atom

Lattice parameters (Å, degrees): 4.890 4.890 6.244 90.00 90.00 90.00
Space group I4/mmm (No. 139)
Unique sites:
Cd 0.000 0.500 0.250 [4 per cell]
As 0.000 0.000 0.000 [2 per cell]
H 0.000 0.000 0.437 [4 per cell]

***

no.,density (Mg/m³)
1,7.081
2,6.327
3,7.629
4,5.290
5,5.152
6,6.712